(1)
TbSm6Ga: optimized geometry, PBE.

It has space group C2/m (No. 12), with a = 8.4535 Å, b = 9.6883 Å, c = 6.2176 Å, α = 90.00°, β = 99.76° and γ = 90.00°. The distinct sites, in fractional coordinates, are Tb at (0.0000, 0.0000, 0.0000), Sm at (0.1605, 0.3017, 0.7242), Sm at (0.1642, 0.5000, 0.2184) and Ga at (0.0000, 0.0000, 0.5000).

The value obtained for the electronic total energy is -4.52 eV/atom. The calculation puts the formation energy at -28 meV per atom.


(2)
NaTc2CCl: optimized geometry, PBE.

It has space group P4/mmm (No. 123), with a = 5.0179 Å, b = 5.0179 Å, c = 4.1556 Å, α = 90.00°, β = 90.00° and γ = 90.00°. The distinct sites, in fractional coordinates, are Na at (0.0000, 0.0000, 0.0000), Tc at (0.0000, 0.5000, 0.0000), C at (0.0000, 0.0000, 0.5000) and Cl at (0.5000, 0.5000, 0.5000).

The value obtained for the electronic total energy is -3.83 eV/atom. The formation energy (no corrections) comes out at 1350 kJ/mol of formula units.


(3)
Tm5IrPb4: optimized geometry, PBE.

It has space group I4 (No. 79), with a = 9.6525 Å, b = 9.6525 Å, c = 6.0961 Å, α = 90.00°, β = 90.00° and γ = 90.00°. The distinct sites, in fractional coordinates, are Tm at (0.0000, 0.0000, 0.0000), Tm at (0.1108, 0.7507, 0.5971), Ir at (0.0000, 0.0000, 0.5143) and Pb at (0.0681, 0.6751, 0.0987).

The value obtained for the electronic total energy is -4.97 eV/atom. The calculation puts the formation energy at -362 meV per atom.


(4)
Cd3ReNi: optimized geometry, PBE.

It has space group Pm-3m (No. 221), with a = 4.8112 Å, b = 4.8112 Å, c = 4.8112 Å, α = 90.00°, β = 90.00° and γ = 90.00°. The distinct sites, in fractional coordinates, are Cd at (0.0000, 0.0000, 0.5000), Re at (0.5000, 0.5000, 0.5000) and Ni at (0.0000, 0.0000, 0.0000).

The value obtained for the electronic total energy is -2.96 eV/atom. The calculation puts the formation energy at 1235 meV per atom. The distance to the lowest polymorph of the same formula comes out at 0.000 eV per atom.


(5)
La4Cu3Hg: optimized geometry, PBE.

It has space group Pmm2 (No. 25), with a = 3.9912 Å, b = 4.7277 Å, c = 11.2713 Å, α = 90.00°, β = 90.00° and γ = 90.00°. The distinct sites, in fractional coordinates, are La at (0.0000, 0.0000, 0.0000), La at (0.0000, 0.5000, 0.2668), La at (0.5000, 0.0000, 0.4715), La at (0.5000, 0.5000, 0.7773), Cu at (0.0000, 0.5000, 0.5500), Cu at (0.5000, 0.0000, 0.1946), Cu at (0.5000, 0.5000, 0.0655) and Hg at (0.0000, 0.0000, 0.6996).

The value obtained for the electronic total energy is -4.26 eV/atom. The calculation puts the formation energy at -222 meV per atom.


(6)
Pm3Pr2Pd4: optimized geometry, PBE.

It has space group Cmce (No. 64), with a = 7.2424 Å, b = 16.6958 Å, c = 7.8948 Å, α = 90.00°, β = 90.00° and γ = 90.00°. The distinct sites, in fractional coordinates, are Pm at (0.0000, 0.0000, 0.0000), Pm at (0.2500, 0.2188, 0.2500), Pr at (0.0000, 0.0963, 0.5963), Pd at (0.0000, 0.1822, 0.9521) and Pd at (0.2500, 0.0440, 0.2500).

The value obtained for the electronic total energy is -5.55 eV/atom. The calculation puts the formation energy at -595 meV per atom.


(7)
BaTl3Cd3: optimized geometry, PBE.

It has space group Pm-3n (No. 223), with a = 8.1175 Å, b = 8.1175 Å, c = 8.1175 Å, α = 90.00°, β = 90.00° and γ = 90.00°. The distinct sites, in fractional coordinates, are Ba at (0.0000, 0.0000, 0.0000), Tl at (0.0000, 0.2500, 0.5000) and Cd at (0.0000, 0.5000, 0.2500).

The value obtained for the electronic total energy is -1.60 eV/atom. The calculation puts the formation energy at 85 meV per atom. The distance to the lowest polymorph of the same formula comes out at 0.236 eV per atom.


(8)
Na2ScBS4: optimized geometry, PBE.

It has space group C2/c (No. 15), with a = 10.0352 Å, b = 12.2375 Å, c = 7.4470 Å, α = 90.00°, β = 127.45° and γ = 90.00°. The distinct sites, in fractional coordinates, are Na at (0.0000, 0.0000, 0.0000), Na at (0.2500, 0.2500, 0.0000), Sc at (0.0000, 0.5000, 0.0000), B at (0.2500, 0.2500, 0.5000), S at (0.1009, 0.2590, 0.5387) and S at (0.2137, 0.4724, 0.9394).

The value obtained for the electronic total energy is -5.01 eV/atom. The formation energy (no corrections) comes out at -766 kJ/mol of formula units.


(9)
LiPm2DySe4: optimized geometry, PBE.

It has space group P2/m (No. 10), with a = 7.1119 Å, b = 4.1112 Å, c = 7.1397 Å, α = 90.00°, β = 109.33° and γ = 90.00°. The distinct sites, in fractional coordinates, are Li at (0.0000, 0.0000, 0.0000), Pm at (0.0000, 0.5000, 0.5000), Pm at (0.5000, 0.0000, 0.5000), Dy at (0.5000, 0.5000, 0.0000), Se at (0.2417, 0.5000, 0.2350) and Se at (0.2490, 0.0000, 0.7645).

The value obtained for the electronic total energy is -5.51 eV/atom. The formation energy (no corrections) comes out at -1360 kJ/mol of formula units.


(10)
AsPt2Pb: optimized geometry, PBE.

It has space group F-43m (No. 216), with a = 6.7474 Å, b = 6.7474 Å, c = 6.7474 Å, α = 90.00°, β = 90.00° and γ = 90.00°. The distinct sites, in fractional coordinates, are As at (0.0000, 0.0000, 0.0000), Pt at (0.0000, 0.0000, 0.5000), Pt at (0.2500, 0.2500, 0.7500) and Pb at (0.2500, 0.2500, 0.2500).

The value obtained for the electronic total energy is -4.84 eV/atom. The calculation puts the formation energy at 266 meV per atom.


(11)
BaReNi: optimized geometry, PBE.

It has space group Imm2 (No. 44), with a = 2.9301 Å, b = 3.7512 Å, c = 11.7765 Å, α = 90.00°, β = 90.00° and γ = 90.00°. The distinct sites, in fractional coordinates, are Ba at (0.0000, 0.0000, 0.0000), Re at (0.0000, 0.0000, 0.7181) and Ni at (0.0000, 0.0000, 0.2832).

The value obtained for the electronic total energy is -5.99 eV/atom. The calculation puts the formation energy at 727 meV per atom. The distance to the lowest polymorph of the same formula comes out at 0.044 eV per atom.


(12)
ZnNCl2: optimized geometry, PBE.

It has space group R-3m (No. 166, hexagonal axes), with a = 3.6145 Å, b = 3.6145 Å, c = 28.9596 Å, α = 90.00°, β = 90.00° and γ = 120.00°. The distinct sites, in fractional coordinates, are Zn at (0.0000, 0.0000, 0.0000), N at (0.0000, 0.0000, 0.5000) and Cl at (0.0000, 0.0000, 0.3804).

The value obtained for the electronic total energy is -2.83 eV/atom. The distance to the lowest polymorph of the same formula comes out at 0.022 eV per atom. The formation energy (no corrections) comes out at 190 kJ/mol of formula units.


(13)
Ti2V13: optimized geometry, PBE.

It has space group R-3m (No. 166, hexagonal axes), with a = 6.6939 Å, b = 6.6939 Å, c = 19.4249 Å, α = 90.00°, β = 90.00° and γ = 120.00°. The distinct sites, in fractional coordinates, are Ti at (0.0000, 0.0000, 0.1354), V at (0.0000, 0.0000, 0.0000), V at (0.0696, 0.5348, 0.2870) and V at (0.0827, 0.5414, 0.4155).

The value obtained for the electronic total energy is -8.23 eV/atom. The calculation puts the formation energy at 727 meV per atom.


(14)
Ba2AlTc: optimized geometry, PBE.

It has space group P2/m (No. 10), with a = 3.7076 Å, b = 4.3490 Å, c = 7.8412 Å, α = 90.00°, β = 90.06° and γ = 90.00°. The distinct sites, in fractional coordinates, are Ba at (0.9999, 0.0000, 0.2373), Al at (0.5000, 0.5000, 0.5000) and Tc at (0.5000, 0.5000, 0.0000).

The value obtained for the electronic total energy is -3.75 eV/atom. The calculation puts the formation energy at 734 meV per atom.


(15)
SrAg2F11: optimized geometry, PBE.

It has space group Ibam (No. 72), with a = 9.2271 Å, b = 9.2560 Å, c = 10.6659 Å, α = 90.00°, β = 90.00° and γ = 90.00°. The distinct sites, in fractional coordinates, are Sr at (0.0000, 0.0000, 0.2500), Ag at (0.1632, 0.3361, 0.0000), F at (0.0000, 0.5000, 0.0000), F at (0.0602, 0.2297, 0.1305), F at (0.1851, 0.3164, 0.5000) and F at (0.2298, 0.0616, 0.3695).

The value obtained for the electronic total energy is -3.39 eV/atom. The formation energy (no corrections) comes out at -1885 kJ/mol of formula units.


(16)
PuSc4Tl: optimized geometry, PBE.

It has space group P4/mmm (No. 123), with a = 3.6928 Å, b = 3.6928 Å, c = 10.6087 Å, α = 90.00°, β = 90.00° and γ = 90.00°. The distinct sites, in fractional coordinates, are Pu at (0.0000, 0.0000, 0.0000), Sc at (0.0000, 0.0000, 0.3367), Sc at (0.5000, 0.5000, 0.1636) and Tl at (0.5000, 0.5000, 0.5000).

The value obtained for the electronic total energy is -7.05 eV/atom. The calculation puts the formation energy at -47 meV per atom.


(17)
SnIrPtI: optimized geometry, PBE.

It has space group R3m (No. 160, hexagonal axes), with a = 4.0761 Å, b = 4.0761 Å, c = 20.4572 Å, α = 90.00°, β = 90.00° and γ = 120.00°. The distinct sites, in fractional coordinates, are Sn at (0.0000, 0.0000, 0.0000), Ir at (0.0000, 0.0000, 0.2698), Pt at (0.0000, 0.0000, 0.4011) and I at (0.0000, 0.0000, 0.5274).

The value obtained for the electronic total energy is -5.05 eV/atom. The distance to the lowest polymorph of the same formula comes out at 0.025 eV per atom. The formation energy (no corrections) comes out at 25 kJ/mol of formula units.


(18)
Li7Ca2Mg3: optimized geometry, PBE.

It has space group P2/m (No. 10), with a = 4.2460 Å, b = 3.7004 Å, c = 18.6175 Å, α = 90.00°, β = 96.42° and γ = 90.00°. The distinct sites, in fractional coordinates, are Li at (0.0000, 0.0000, 0.0000), Li at (0.0672, 0.5000, 0.1329), Li at (0.2730, 0.5000, 0.5458), Li at (0.4371, 0.0000, 0.8749), Ca at (0.3589, 0.5000, 0.7177), Mg at (0.2004, 0.0000, 0.4019) and Mg at (0.5000, 0.5000, 0.0000).

The value obtained for the electronic total energy is -1.82 eV/atom. The calculation puts the formation energy at 26 meV per atom. The distance to the lowest polymorph of the same formula comes out at 0.000 eV per atom.


(19)
CdInTeS: optimized geometry, PBE.

It has space group Cm (No. 8), with a = 6.8799 Å, b = 3.9859 Å, c = 8.7952 Å, α = 90.00°, β = 90.22° and γ = 90.00°. The distinct sites, in fractional coordinates, are Cd at (0.0000, 0.0000, 0.0000), In at (0.0007, 0.0000, 0.3150), Te at (0.3330, 0.0000, 0.8005) and S at (0.1676, 0.5000, 0.4495).

The value obtained for the electronic total energy is -2.94 eV/atom. The formation energy (no corrections) comes out at -81 kJ/mol of formula units.


(20)
ZrBe3Pb: optimized geometry, PBE.

It has space group Pm-3m (No. 221), with a = 4.5462 Å, b = 4.5462 Å, c = 4.5462 Å, α = 90.00°, β = 90.00° and γ = 90.00°. The distinct sites, in fractional coordinates, are Zr at (0.0000, 0.0000, 0.0000), Be at (0.0000, 0.5000, 0.5000) and Pb at (0.5000, 0.5000, 0.5000).

The value obtained for the electronic total energy is -3.41 eV/atom. The calculation puts the formation energy at 1274 meV per atom. The distance to the lowest polymorph of the same formula comes out at 0.000 eV per atom.